The following is a DFT calculation (PBE) of a relaxed structure of KSrSi2.

Geometry as CIF:
```
data_KSrSi2
_cell_length_a 3.2631
_cell_length_b 3.2631
_cell_length_c 9.9372
_cell_angle_alpha 90.00
_cell_angle_beta 90.00
_cell_angle_gamma 90.00
_space_group_name_H-M_alt 'P 1'
_space_group_IT_number 1
_space_group_name_Hall 'P 1'
loop_
_atom_site_label
_atom_site_type_symbol
_atom_site_fract_x
_atom_site_fract_y
_atom_site_fract_z
K1 K 0.0000 0.0000 0.0000
Sr1 Sr 0.0000 0.0000 0.5000
Si1 Si 0.5000 0.5000 0.2639
Si2 Si 0.5000 0.5000 0.7361
```

Results
* symmetry: No. 123
* raw formation energy: 0.248 eV/atom

The following is a DFT calculation (PBE) of a relaxed structure of Cu2Ag2Sb.

Geometry as CIF:
```
data_Cu2Ag2Sb
_cell_length_a 6.6712
_cell_length_b 6.6712
_cell_length_c 6.6712
_cell_angle_alpha 146.15
_cell_angle_beta 146.15
_cell_angle_gamma 48.62
_space_group_name_H-M_alt 'P 1'
_space_group_IT_number 1
_space_group_name_Hall 'P 1'
loop_
_atom_site_label
_atom_site_type_symbol
_atom_site_fract_x
_atom_site_fract_y
_atom_site_fract_z
Cu1 Cu 0.0968 0.0968 0.0000
Cu2 Cu 0.9032 0.9032 0.0000
Ag1 Ag 0.2500 0.7500 0.5000
Ag2 Ag 0.7500 0.2500 0.5000
Sb1 Sb 0.5000 0.5000 0.0000
```

Results
* symmetry: No. 139
* raw formation energy: 0.259 eV/atom

The following is a DFT calculation (PBE) of a relaxed structure of PmPr2Ag2Hg2.

Geometry as CIF:
```
data_PmPr2Ag2Hg2
_cell_length_a 9.4616
_cell_length_b 9.4616
_cell_length_c 9.4616
_cell_angle_alpha 30.21
_cell_angle_beta 30.21
_cell_angle_gamma 30.21
_space_group_name_H-M_alt 'P 1'
_space_group_IT_number 1
_space_group_name_Hall 'P 1'
loop_
_atom_site_label
_atom_site_type_symbol
_atom_site_fract_x
_atom_site_fract_y
_atom_site_fract_z
Pm1 Pm 0.0000 0.0000 0.0000
Pr1 Pr 0.1231 0.1231 0.1231
Pr2 Pr 0.8769 0.8769 0.8769
Ag1 Ag 0.3953 0.3953 0.3953
Ag2 Ag 0.6047 0.6047 0.6047
Hg1 Hg 0.2640 0.2640 0.2640
Hg2 Hg 0.7360 0.7360 0.7360
```

Results
* formation energy from the elements: -0.260 eV/atom
* symmetry: No. 166